1.
This record from OQMD describes a relaxed Gd2Er5Tm crystal. The functional is PBE.

Cell lengths 5.5925, 7.1486, 12.3828 Å; angles 90.00, 90.00, 90.00 degrees
Space group Amm2 (No. 38)
Asymmetric unit:
Gd 0.0000 0.0000 0.0000 x2
Gd 0.5000 0.0000 0.3334 x2
Er 0.0000 0.0000 0.5009 x2
Er 0.0000 0.2486 0.7496 x4
Er 0.5000 0.2486 0.5838 x4
Tm 0.5000 0.0000 0.8324 x2

Calculated values
**Electronic total energy**: -4.571 eV/atom
**Energy relative to the elements**: 4 meV per atom
**V**: 30.9 A^3/atom
**Total magnetization**: 0.031 μB/atom

---

2.
This record from OQMD describes a relaxed Gd2ErTm crystal. The functional is PBE.

Cell lengths 5.6185, 7.1919, 12.4611 Å; angles 90.00, 90.00, 90.00 degrees
Space group Amm2 (No. 38)
Asymmetric unit:
Gd 0.0000 0.0000 0.0000 x2
Gd 0.0000 0.2494 0.2496 x4
Gd 0.5000 0.0000 0.6666 x2
Er 0.0000 0.0000 0.4995 x2
Er 0.5000 0.0000 0.1670 x2
Tm 0.5000 0.2495 0.4161 x4

Calculated values
**Electronic total energy**: -4.576 eV/atom
**Energy relative to the elements**: 10 meV per atom
**V**: 31.5 A^3/atom
**Polymorph energy (0 for the lowest one)**: 0.01 eV/f.u.
**Total magnetization**: 0.007 μB/atom

---

3.
This record from OQMD describes a relaxed GdEr2Tm crystal. The functional is PBE.

Cell lengths 5.5873, 12.3724, 7.1438 Å; angles 90.00, 90.00, 90.00 degrees
Space group Ama2 (No. 40)
Asymmetric unit:
Gd 0.2500 0.1667 0.0000 x4
Er 0.2500 0.1657 0.4999 x4
Er 0.2500 0.4171 0.7513 x4
Tm 0.2500 0.4171 0.2486 x4

Calculated values
**Electronic total energy**: -4.560 eV/atom
**Energy relative to the elements**: 4 meV per atom
**V**: 30.9 A^3/atom
**Total magnetization**: 0.026 μB/atom

---

4.
This record from OQMD describes a relaxed GdErTm6 crystal. The functional is PBE.

Cell lengths 7.1227, 7.1227, 5.5337 Å; angles 90.00, 90.00, 120.00 degrees
Space group P-6m2 (No. 187)
Asymmetric unit:
Gd 0.0000 0.0000 0.0000 x1
Er 0.6667 0.3333 0.5000 x1
Tm 0.0010 0.5005 0.0000 x3
Tm 0.1671 0.3342 0.5000 x3

Calculated values
**Electronic total energy**: -4.506 eV/atom
**Energy relative to the elements**: 2 meV per atom
**V**: 30.4 A^3/atom
**Total magnetization**: 0.005 μB/atom

---

5.
This record from OQMD describes a relaxed GdErTm2 crystal. The functional is PBE.

Cell lengths 5.5784, 7.1338, 12.3569 Å; angles 90.00, 90.00, 90.00 degrees
Space group Amm2 (No. 38)
Asymmetric unit:
Gd 0.0000 0.0000 0.0000 x2
Gd 0.5000 0.0000 0.3334 x2
Er 0.0000 0.2486 0.7496 x4
Tm 0.0000 0.0000 0.5009 x2
Tm 0.5000 0.0000 0.8324 x2
Tm 0.5000 0.2486 0.5838 x4

Calculated values
**Electronic total energy**: -4.538 eV/atom
**Energy relative to the elements**: 4 meV per atom
**V**: 30.7 A^3/atom
**Total magnetization**: 0.019 μB/atom

---

6.
This record from OQMD describes a relaxed Gd3Er2Tm3 crystal. The functional is PBE.

Cell lengths 7.1688, 7.1688, 5.5934 Å; angles 90.00, 90.00, 120.00 degrees
Space group P-6m2 (No. 187)
Asymmetric unit:
Gd 0.0007 0.5003 0.0000 x3
Er 0.0000 0.0000 0.0000 x1
Er 0.3333 0.6667 0.5000 x1
Tm 0.3334 0.1667 0.5000 x3

Calculated values
**Electronic total energy**: -4.554 eV/atom
**Energy relative to the elements**: 10 meV per atom
**V**: 31.1 A^3/atom
**Total magnetization**: 0.015 μB/atom

---

7.
This record from OQMD describes a relaxed GdEr2Tm crystal. The functional is PBE.

Cell lengths 5.5881, 7.1451, 12.3744 Å; angles 90.00, 90.00, 90.00 degrees
Space group Amm2 (No. 38)
Asymmetric unit:
Gd 0.0000 0.0000 0.0000 x2
Gd 0.5000 0.0000 0.3333 x2
Er 0.0000 0.0000 0.5009 x2
Er 0.5000 0.0000 0.8324 x2
Er 0.5000 0.2486 0.5838 x4
Tm 0.0000 0.2486 0.7495 x4

Calculated values
**Electronic total energy**: -4.560 eV/atom
**Energy relative to the elements**: 4 meV per atom
**V**: 30.9 A^3/atom
**Total magnetization**: 0.028 μB/atom

---

8.
This record from OQMD describes a relaxed GdErTm2 crystal. The functional is PBE.

Cell lengths 7.1346, 12.3555, 5.5784 Å; angles 90.00, 90.00, 90.00 degrees
Space group Cmcm (No. 63)
Asymmetric unit:
Gd 0.0000 0.1666 0.2500 x4
Er 0.0000 0.3343 0.7500 x4
Tm 0.2486 0.4172 0.2500 x8

Calculated values
**Electronic total energy**: -4.538 eV/atom
**Energy relative to the elements**: 4 meV per atom
**V**: 30.7 A^3/atom
**Total magnetization**: 0.017 μB/atom

---

9.
This record from OQMD describes a relaxed Gd2Er3Tm3 crystal. The functional is PBE.

Cell lengths 5.5834, 7.1396, 12.3660 Å; angles 90.00, 90.00, 90.00 degrees
Space group Amm2 (No. 38)
Asymmetric unit:
Gd 0.0000 0.0000 0.0000 x2
Gd 0.5000 0.0000 0.3333 x2
Er 0.0000 0.0000 0.5009 x2
Er 0.5000 0.2486 0.5838 x4
Tm 0.0000 0.2486 0.7495 x4
Tm 0.5000 0.0000 0.8324 x2

Calculated values
**Electronic total energy**: -4.549 eV/atom
**Energy relative to the elements**: 4 meV per atom
**V**: 30.8 A^3/atom
**Total magnetization**: 0.026 μB/atom

---

10.
This record from OQMD describes a relaxed Gd2ErTm crystal. The functional is PBE.

Cell lengths 5.6170, 12.4561, 7.1887 Å; angles 90.00, 90.00, 90.00 degrees
Space group Ama2 (No. 40)
Asymmetric unit:
Gd 0.2500 0.0831 0.0000 x4
Gd 0.2500 0.3332 0.7501 x4
Er 0.2500 0.3336 0.2511 x4
Tm 0.2500 0.0834 0.5012 x4

Calculated values
**Electronic total energy**: -4.577 eV/atom
**Energy relative to the elements**: 10 meV per atom
**V**: 31.4 A^3/atom
**Polymorph energy (0 for the lowest one)**: 0.01 eV/f.u.
**Total magnetization**: 0.009 μB/atom

---

11.
This record from OQMD describes a relaxed Gd5Er2Tm crystal. The functional is PBE.

Cell lengths 5.6457, 7.2152, 12.4809 Å; angles 90.00, 90.00, 90.00 degrees
Space group Amm2 (No. 38)
Asymmetric unit:
Gd 0.0000 0.0000 0.0000 x2
Gd 0.0000 0.2495 0.7506 x4
Gd 0.5000 0.2498 0.0833 x4
Er 0.0000 0.0000 0.5003 x2
Er 0.5000 0.0000 0.8341 x2
Tm 0.5000 0.0000 0.3340 x2

Calculated values
**Electronic total energy**: -4.598 eV/atom
**Energy relative to the elements**: 11 meV per atom
**V**: 31.8 A^3/atom
**Total magnetization**: 0.006 μB/atom

---

12.
This record from OQMD describes a relaxed GdErU crystal. The functional is PBE.

Cell lengths 7.3146, 7.3146, 7.3146 Å; angles 90.00, 90.00, 90.00 degrees
Space group F-43m (No. 216)
Asymmetric unit:
Gd 0.0000 0.0000 0.0000 x4
Er 0.2500 0.2500 0.2500 x4
U 0.0000 0.0000 0.5000 x4

Calculated values
**Electronic total energy**: -5.555 eV/atom
**Energy relative to the elements**: 1283 meV per atom
**V**: 32.6 A^3/atom
**Polymorph energy (0 for the lowest one)**: 0.00 eV/f.u.
**Total magnetization**: 1.171 μB/atom

---

13.
This record from OQMD describes a relaxed Gd3Y3Er2 crystal. The functional is PBE.

Cell lengths 5.6513, 7.2562, 12.5709 Å; angles 90.00, 90.00, 90.00 degrees
Space group Amm2 (No. 38)
Asymmetric unit:
Gd 0.0000 0.0000 0.0000 x2
Gd 0.5000 0.2500 0.0828 x4
Y 0.0000 0.2494 0.7499 x4
Y 0.5000 0.0000 0.3338 x2
Er 0.0000 0.0000 0.5007 x2
Er 0.5000 0.0000 0.8340 x2

Calculated values
**Electronic total energy**: -5.303 eV/atom
**Energy relative to the elements**: 7 meV per atom
**V**: 32.2 A^3/atom
**Total magnetization**: 0.008 μB/atom

---

14.
This record from OQMD describes a relaxed Gd3Y3Er2 crystal. The functional is PBE.

Cell lengths 7.2567, 7.2567, 5.6520 Å; angles 90.00, 90.00, 120.00 degrees
Space group P-6m2 (No. 187)
Asymmetric unit:
Gd 0.0015 0.5007 0.0000 x3
Y 0.3331 0.1666 0.5000 x3
Er 0.0000 0.0000 0.0000 x1
Er 0.3333 0.6667 0.5000 x1

Calculated values
**Electronic total energy**: -5.302 eV/atom
**Energy relative to the elements**: 8 meV per atom
**V**: 32.2 A^3/atom
**Total magnetization**: 0.029 μB/atom

---

15.
This record from OQMD describes a relaxed GdY5Er2 crystal. The functional is PBE.

Cell lengths 5.6387, 7.2491, 12.5647 Å; angles 90.00, 90.00, 90.00 degrees
Space group Amm2 (No. 38)
Asymmetric unit:
Gd 0.0000 0.0000 0.0000 x2
Y 0.0000 0.2493 0.7506 x4
Y 0.5000 0.0000 0.3342 x2
Y 0.5000 0.2502 0.0837 x4
Er 0.0000 0.0000 0.5007 x2
Er 0.5000 0.0000 0.8343 x2

Calculated values
**Electronic total energy**: -5.760 eV/atom
**Energy relative to the elements**: 4 meV per atom
**V**: 32.1 A^3/atom
**Total magnetization**: 0.018 μB/atom

---

16.
This record from OQMD describes a relaxed Gd2YEr5 crystal. The functional is PBE.

Cell lengths 5.6098, 7.2121, 12.4895 Å; angles 90.00, 90.00, 90.00 degrees
Space group Amm2 (No. 38)
Asymmetric unit:
Gd 0.0000 0.0000 0.0000 x2
Gd 0.5000 0.0000 0.3329 x2
Y 0.5000 0.0000 0.8323 x2
Er 0.0000 0.0000 0.5004 x2
Er 0.0000 0.2494 0.7491 x4
Er 0.5000 0.2491 0.5834 x4

Calculated values
**Electronic total energy**: -4.819 eV/atom
**Energy relative to the elements**: 4 meV per atom
**V**: 31.6 A^3/atom
**Total magnetization**: 0.022 μB/atom

---

17.
This record from OQMD describes a relaxed GdYEr6 crystal. The functional is PBE.

Cell lengths 7.1996, 7.1996, 5.5835 Å; angles 90.00, 90.00, 120.00 degrees
Space group P-6m2 (No. 187)
Asymmetric unit:
Gd 0.0000 0.0000 0.0000 x1
Y 0.6667 0.3333 0.5000 x1
Er 0.0023 0.5011 0.0000 x3
Er 0.1675 0.3350 0.5000 x3

Calculated values
**Electronic total energy**: -4.810 eV/atom
**Energy relative to the elements**: 2 meV per atom
**V**: 31.3 A^3/atom
**Total magnetization**: 0.005 μB/atom

---

18.
This record from OQMD describes a relaxed Gd2ErZn4 crystal. The functional is PBE.

Cell lengths 5.1740, 5.1740, 14.9688 Å; angles 90.00, 90.00, 90.00 degrees
Space group I4/mmm (No. 139)
Asymmetric unit:
Gd 0.0000 0.0000 0.1109 x4
Er 0.0000 0.0000 0.5000 x2
Zn 0.0000 0.0000 0.3115 x4
Zn 0.0000 0.5000 0.0000 x4

Calculated values
**Electronic total energy**: -2.445 eV/atom
**Energy relative to the elements**: 259 meV per atom
**V**: 28.6 A^3/atom
**Total magnetization**: 0.002 μB/atom

---

19.
This record from OQMD describes a relaxed GdErZn2 crystal. The functional is PBE.

Cell lengths 3.5546, 3.5546, 7.1459 Å; angles 90.00, 90.00, 90.00 degrees
Space group P4/mmm (No. 123)
Asymmetric unit:
Gd 0.0000 0.0000 0.0000 x1
Er 0.0000 0.0000 0.5000 x1
Zn 0.5000 0.5000 0.2611 x2

Calculated values
**Electronic total energy**: -3.279 eV/atom
**Energy relative to the elements**: -342 meV per atom
**V**: 22.6 A^3/atom
**Total magnetization**: 0.096 μB/atom

---

20.
This record from OQMD describes a relaxed GdErZr crystal. The functional is PBE.

Cell lengths 7.3678, 7.3678, 7.3678 Å; angles 90.00, 90.00, 90.00 degrees
Space group F-43m (No. 216)
Asymmetric unit:
Gd 0.0000 0.0000 0.0000 x4
Er 0.0000 0.0000 0.5000 x4
Zr 0.2500 0.2500 0.7500 x4

Calculated values
**Electronic total energy**: -5.130 eV/atom
**Energy relative to the elements**: 791 meV per atom
**V**: 33.3 A^3/atom
**Polymorph energy (0 for the lowest one)**: 0.00 eV/f.u.
**Total magnetization**: 0.441 μB/atom

---

21.
This record from OQMD describes a relaxed Er3Ge7 crystal. The functional is PBE.

Cell lengths 4.0463, 24.2224, 4.1449 Å; angles 90.00, 90.00, 90.00 degrees
Space group Cmmm (No. 65)
Asymmetric unit:
Er 0.0000 0.0000 0.0000 x2
Er 0.0000 0.1839 0.0000 x4
Ge 0.0000 0.0941 0.5000 x4
Ge 0.0000 0.2851 0.5000 x4
Ge 0.0000 0.4064 0.0000 x4
Ge 0.0000 0.5000 0.5000 x2

Calculated values
**Electronic total energy**: -5.118 eV/atom
**V**: 20.3 A^3/atom
**Total magnetization**: 0.000 μB/atom

---

22.
This record from OQMD describes a relaxed Er3Ge5 crystal. The functional is PBE.

Cell lengths 6.8855, 6.8855, 4.1147 Å; angles 90.00, 90.00, 120.00 degrees
Space group P-62m (No. 189)
Asymmetric unit:
Er 0.0000 0.6412 0.0000 x3
Ge 0.0000 0.2503 0.5000 x3
Ge 0.3333 0.6667 0.5000 x2

Calculated values
**Electronic total energy**: -5.268 eV/atom
**V**: 21.1 A^3/atom
**Total magnetization**: 0.000 μB/atom

---

23.
This record from OQMD describes a relaxed ErGe2 crystal. The functional is PBE.

Cell lengths 7.9335, 7.9335, 7.9335 Å; angles 90.00, 90.00, 90.00 degrees
Space group Fd-3m (No. 227, origin choice 2)
Asymmetric unit:
Er 0.1250 0.1250 0.1250 x8
Ge 0.0000 0.0000 0.5000 x16

Calculated values
**Electronic total energy**: -4.884 eV/atom
**V**: 20.8 A^3/atom
**Total magnetization**: 0.001 μB/atom

---

24.
This record from OQMD describes a relaxed Er5Ge4 crystal. The functional is PBE.

Cell lengths 7.5641, 14.5444, 7.6592 Å; angles 90.00, 90.00, 90.00 degrees
Space group Pnma (No. 62)
Asymmetric unit:
Er 0.0198 0.0992 0.1777 x8
Er 0.1299 0.6188 0.3388 x8
Er 0.2059 0.2500 0.5008 x4
Ge 0.0721 0.2500 0.8829 x4
Ge 0.1730 0.7500 0.6400 x4
Ge 0.2125 0.0430 0.5360 x8

Calculated values
**Electronic total energy**: -5.442 eV/atom
**V**: 23.4 A^3/atom
**Total magnetization**: 0.000 μB/atom